i) Density functional theory data (PBE) for an optimized crystal structure of ScOsRh2.

Lattice parameters (Å, degrees): 8.9730 8.9730 8.9730 18.23 18.23 18.23
Closest atoms and distances in Å follow each position.
Sites, in units of the cell vectors:
Sc 0.0000 0.0000 0.0000  6 Rh 2.77, 6 Sc 2.84
Os 0.5000 0.5000 0.5000  6 Rh 2.72, 6 Os 2.84
Rh 0.2488 0.2488 0.2488  3 Os 2.72, 3 Sc 2.77, 6 Rh 2.84
Rh 0.7512 0.7512 0.7512  3 Os 2.72, 3 Sc 2.77, 6 Rh 2.84

---

ii) Density functional theory data (PBE) for an optimized crystal structure of ScOsRh2.

Lattice parameters (Å, degrees): 2.8129 3.8728 5.6344 90.00 90.00 90.00
Closest atoms and distances in Å follow each position.
Sites, in units of the cell vectors:
Sc 0.0000 0.0000 0.0000  2 Sc 2.81, 2 Os 2.82, 8 Rh 2.82
Os 0.0000 0.0000 0.5000  8 Rh 2.73, 2 Os 2.81, 2 Sc 2.82
Rh 0.5000 0.5000 0.2654  3 Rh 2.64-2.81, 4 Os 2.73, 4 Sc 2.82
Rh 0.5000 0.5000 0.7346  3 Rh 2.64-2.81, 4 Os 2.73, 4 Sc 2.82

---

What should be chosen as the least stable of them? Choose i).

---

i) Density functional theory data (PBE) for an optimized crystal structure of ScOsRh2.

Lattice parameters (Å, degrees): 5.5931 5.5931 5.5931 150.55 132.48 56.89
Closest atoms and distances in Å follow each position.
Sites, in units of the cell vectors:
Sc 0.0000 0.0000 0.0000  4 Rh 2.67, 2 Sc 2.84
Os 0.2689 0.7689 0.5000  6 Rh 2.59-2.70, 2 Os 2.84
Rh 0.4890 0.4890 0.0000  2 Os 2.59, 4 Sc 2.67, 4 Rh 2.74-2.84
Rh 0.7269 0.2269 0.5000  4 Os 2.70, 4 Rh 2.74-2.84

---

ii) Density functional theory data (PBE) for an optimized crystal structure of ScOsRh2.

Lattice parameters (Å, degrees): 9.2979 9.2979 9.2979 155.75 155.75 34.55
Closest atoms and distances in Å follow each position.
Sites, in units of the cell vectors:
Sc 0.0000 0.0000 0.0000  4 Rh 2.64, 4 Os 2.76
Sc 0.7500 0.2500 0.5000  4 Rh 2.64, 4 Os 2.76
Os 0.2500 0.7500 0.5000  4 Rh 2.59, 4 Sc 2.76
Os 0.5000 0.5000 0.0000  4 Rh 2.59, 4 Sc 2.76
Rh 0.1429 0.6250 0.0179  2 Os 2.59, 2 Sc 2.64, 4 Rh 2.66-2.86
Rh 0.3750 0.3929 0.5179  2 Os 2.59, 2 Sc 2.64, 4 Rh 2.66-2.86
Rh 0.6071 0.1250 0.9821  2 Os 2.59, 2 Sc 2.64, 4 Rh 2.66-2.86
Rh 0.8750 0.8571 0.4821  2 Os 2.59, 2 Sc 2.64, 4 Rh 2.66-2.86

---

What should be chosen as the least stable of them? Choose ii).

---

i) Density functional theory data (PBE) for an optimized crystal structure of ScOsRh2.

Lattice parameters (Å, degrees): 4.8108 4.8108 4.8255 100.47 100.47 34.16
Closest atoms and distances in Å follow each position.
Sites, in units of the cell vectors:
Sc 0.0000 0.0000 0.0000  7 Rh 2.70-2.84, 2 Sc 2.83, 3 Os 2.90-2.94
Os 0.2446 0.2446 0.6879  7 Rh 2.64-2.93, 2 Os 2.83, 3 Sc 2.90-2.94
Rh 0.5025 0.5025 0.5121  3 Os 2.64-2.67, 4 Sc 2.75-2.84, 5 Rh 2.83-2.91
Rh 0.7524 0.7524 0.2221  4 Os 2.67-2.93, 3 Sc 2.70-2.75, 5 Rh 2.83-2.91

---

ii) Density functional theory data (PBE) for an optimized crystal structure of ScOsRh2.

Lattice parameters (Å, degrees): 4.4700 4.4700 4.4700 60.00 60.00 60.00
Closest atoms and distances in Å follow each position.
Sites, in units of the cell vectors:
Sc 0.0000 0.0000 0.0000  8 Rh 2.74
Os 0.5000 0.5000 0.5000  8 Rh 2.74
Rh 0.2500 0.2500 0.2500  4 Os 2.74, 4 Sc 2.74
Rh 0.7500 0.7500 0.7500  4 Os 2.74, 4 Sc 2.74

---

iii) Density functional theory data (PBE) for an optimized crystal structure of ScOsRh2.

Lattice parameters (Å, degrees): 2.8148 4.4820 4.8118 90.00 90.00 90.00
Closest atoms and distances in Å follow each position.
Sites, in units of the cell vectors:
Sc 0.0000 0.0000 0.0000  8 Rh 2.72-2.80, 2 Sc 2.81, 2 Os 2.88
Os 0.0000 0.5000 0.6226  8 Rh 2.71-2.80, 2 Os 2.81, 2 Sc 2.88
Rh 0.5000 0.0000 0.4969  4 Os 2.71, 4 Sc 2.77-2.80, 4 Rh 2.81-2.86
Rh 0.5000 0.5000 0.1267  4 Sc 2.72, 4 Os 2.77-2.80, 4 Rh 2.81-2.86

---

What should be chosen as the least stable of them? Choose ii).

---

i) Density functional theory data (PBE) for an optimized crystal structure of ScOsRh2.

Lattice parameters (Å, degrees): 4.7407 4.7407 2.8223 90.00 90.00 107.45
Closest atoms and distances in Å follow each position.
Sites, in units of the cell vectors:
Sc 0.0000 0.0000 0.0000  8 Rh 2.76, 2 Os 2.80, 2 Sc 2.82
Os 0.5000 0.5000 0.0000  8 Rh 2.76, 2 Sc 2.80, 2 Os 2.82
Rh 0.0000 0.5000 0.5000  4 Sc 2.76, 4 Os 2.76, 4 Rh 2.80-2.82
Rh 0.5000 0.0000 0.5000  4 Sc 2.76, 4 Os 2.76, 4 Rh 2.80-2.82

---

ii) Density functional theory data (PBE) for an optimized crystal structure of ScOsRh2.

Lattice parameters (Å, degrees): 4.4428 4.4428 4.4428 60.00 60.00 60.00
Closest atoms and distances in Å follow each position.
Sites, in units of the cell vectors:
Sc 0.0000 0.0000 0.0000  4 Os 2.72, 4 Rh 2.72
Os 0.7500 0.7500 0.7500  4 Sc 2.72, 4 Rh 2.72
Rh 0.2500 0.2500 0.2500  4 Rh 2.72, 4 Sc 2.72
Rh 0.5000 0.5000 0.5000  4 Os 2.72, 4 Rh 2.72

---

What should be chosen as the least stable of them? Choose ii).

---

i) Density functional theory data (PBE) for an optimized crystal structure of ScOsRh2.

Lattice parameters (Å, degrees): 4.7679 2.8181 4.7927 90.00 109.12 90.00
Closest atoms and distances in Å follow each position.
Sites, in units of the cell vectors:
Sc 0.0000 0.0000 0.0000  6 Rh 2.77, 4 Os 2.78, 2 Sc 2.82
Os 0.0000 0.5000 0.5000  6 Rh 2.77, 4 Sc 2.78, 2 Os 2.82
Rh 0.5000 0.0000 0.5000  4 Os 2.77, 2 Sc 2.77, 6 Rh 2.78-2.82
Rh 0.5000 0.5000 0.0000  4 Sc 2.77, 2 Os 2.77, 6 Rh 2.78-2.82

---

ii) Density functional theory data (PBE) for an optimized crystal structure of ScOsRh2.

Lattice parameters (Å, degrees): 4.8137 4.8137 4.8007 99.83 99.83 34.19
Closest atoms and distances in Å follow each position.
Sites, in units of the cell vectors:
Sc 0.0000 0.0000 0.0000  6 Rh 2.78-2.84, 4 Os 2.79, 2 Sc 2.83
Os 0.5000 0.5000 0.5000  6 Rh 2.73-2.78, 4 Sc 2.79, 2 Os 2.83
Rh 0.2446 0.2446 0.7350  6 Rh 2.68-2.90, 3 Os 2.73-2.78, 3 Sc 2.78-2.84
Rh 0.7554 0.7554 0.2650  6 Rh 2.68-2.90, 3 Os 2.73-2.78, 3 Sc 2.78-2.84

---

iii) Density functional theory data (PBE) for an optimized crystal structure of ScOsRh2.

Lattice parameters (Å, degrees): 2.8232 2.8232 7.7413 90.00 90.00 90.00
Closest atoms and distances in Å follow each position.
Sites, in units of the cell vectors:
Sc 0.0000 0.0000 0.0000  4 Sc 2.82, 8 Rh 2.87
Os 0.0000 0.0000 0.5000  8 Rh 2.70, 4 Os 2.82
Rh 0.5000 0.5000 0.2656  4 Os 2.70, 4 Rh 2.82, 4 Sc 2.87
Rh 0.5000 0.5000 0.7344  4 Os 2.70, 4 Rh 2.82, 4 Sc 2.87

---

What should be chosen as the least stable of them? Choose ii).

---

i) Density functional theory data (PBE) for an optimized crystal structure of ScOsRh2.

Lattice parameters (Å, degrees): 2.8388 2.8388 7.7069 90.00 90.00 90.00
Closest atoms and distances in Å follow each position.
Sites, in units of the cell vectors:
Sc 0.0000 0.0000 0.0000  4 Rh 2.78, 4 Sc 2.84, 4 Os 2.94
Os 0.5000 0.5000 0.2779  4 Rh 2.64, 4 Os 2.84, 4 Sc 2.94
Rh 0.0000 0.0000 0.5000  4 Os 2.64, 8 Rh 2.79-2.84
Rh 0.5000 0.5000 0.7511  4 Sc 2.78, 8 Rh 2.79-2.84

---

ii) Density functional theory data (PBE) for an optimized crystal structure of ScOsRh2.

Lattice parameters (Å, degrees): 3.2457 3.2457 5.9762 90.00 90.00 90.00
Closest atoms and distances in Å follow each position.
Sites, in units of the cell vectors:
Sc 0.0000 0.0000 0.0000  6 Rh 2.71-3.02, 4 Os 2.87
Os 0.5000 0.5000 0.2897  5 Rh 2.60-2.81, 4 Sc 2.87
Rh 0.0000 0.0000 0.4954  4 Os 2.60, 4 Rh 2.79
Rh 0.5000 0.5000 0.7596  4 Sc 2.71, 4 Rh 2.79, 1 Os 2.81

---

What should be chosen as the least stable of them? Choose ii).

---

i) Density functional theory data (PBE) for an optimized crystal structure of ScOs2Rh.

Lattice parameters (Å, degrees): 2.7793 2.7793 8.0473 90.00 90.00 90.00
Closest atoms and distances in Å follow each position.
Sites, in units of the cell vectors:
Sc 0.0000 0.0000 0.0000  4 Sc 2.78, 8 Os 2.92
Os 0.5000 0.5000 0.2677  4 Rh 2.71, 4 Os 2.78, 4 Sc 2.92
Os 0.5000 0.5000 0.7323  4 Rh 2.71, 4 Os 2.78, 4 Sc 2.92
Rh 0.0000 0.0000 0.5000  8 Os 2.71, 4 Rh 2.78

---

ii) Density functional theory data (PBE) for an optimized crystal structure of ScOs2Rh.

Lattice parameters (Å, degrees): 5.7407 5.7407 5.7407 151.59 134.88 54.18
Closest atoms and distances in Å follow each position.
Sites, in units of the cell vectors:
Sc 0.0000 0.0000 0.0000  4 Rh 2.61, 2 Sc 2.82
Os 0.2785 0.7785 0.5000  2 Rh 2.67, 6 Os 2.68-2.82
Os 0.7215 0.2215 0.5000  2 Rh 2.67, 6 Os 2.68-2.82
Rh 0.5000 0.5000 0.0000  4 Sc 2.61, 4 Os 2.67, 2 Rh 2.82

---

What should be chosen as the least stable of them? Choose i).

---

i) Density functional theory data (PBE) for an optimized crystal structure of ScOs2Rh.

Lattice parameters (Å, degrees): 4.4460 4.4460 4.4460 60.00 60.00 60.00
Closest atoms and distances in Å follow each position.
Sites, in units of the cell vectors:
Sc 0.0000 0.0000 0.0000  4 Os 2.72, 4 Rh 2.72
Os 0.2500 0.2500 0.2500  4 Os 2.72, 4 Sc 2.72
Os 0.5000 0.5000 0.5000  4 Os 2.72, 4 Rh 2.72
Rh 0.7500 0.7500 0.7500  4 Os 2.72, 4 Sc 2.72

---

ii) Density functional theory data (PBE) for an optimized crystal structure of ScOs2Rh.

Lattice parameters (Å, degrees): 2.8234 4.7471 4.6982 90.00 96.14 90.00
Closest atoms and distances in Å follow each position.
Sites, in units of the cell vectors:
Sc 0.0000 0.0000 0.0000  4 Rh 2.61-2.87, 2 Sc 2.82, 4 Os 2.83
Os 0.2968 0.5000 0.7424  5 Os 2.57-2.82, 2 Rh 2.72, 2 Sc 2.83
Os 0.7032 0.5000 0.2576  5 Os 2.57-2.82, 2 Rh 2.72, 2 Sc 2.83
Rh 0.5000 0.0000 0.5000  4 Sc 2.61-2.87, 4 Os 2.72, 2 Rh 2.82

---

What should be chosen as the least stable of them? Choose i).

---

i) Density functional theory data (PBE) for an optimized crystal structure of Sc4OsRh.

Lattice parameters (Å, degrees): 5.3826 5.3826 5.3826 60.00 60.00 60.00
Closest atoms and distances in Å follow each position.
Sites, in units of the cell vectors:
Sc 0.1248 0.1248 0.1248  6 Sc 2.69
Sc 0.1248 0.1248 0.6255  6 Sc 2.69
Sc 0.1248 0.6255 0.1248  6 Sc 2.69
Sc 0.6255 0.1248 0.1248  6 Sc 2.69
Os 0.7500 0.7500 0.7500  12 Sc 3.16, 4 Rh 3.30
Rh 0.5000 0.5000 0.5000  12 Sc 3.16, 4 Os 3.30

---

ii) Density functional theory data (PBE) for an optimized crystal structure of Sc4OsRh.

Lattice parameters (Å, degrees): 4.5008 4.5008 6.3746 90.00 90.00 90.00
Closest atoms and distances in Å follow each position.
Sites, in units of the cell vectors:
Sc 0.0000 0.5000 0.2459  2 Os 2.74, 2 Rh 2.77
Sc 0.0000 0.5000 0.7541  2 Os 2.74, 2 Rh 2.77
Sc 0.5000 0.0000 0.2459  2 Os 2.74, 2 Rh 2.77
Sc 0.5000 0.0000 0.7541  2 Os 2.74, 2 Rh 2.77
Os 0.0000 0.0000 0.0000  8 Sc 2.74
Rh 0.5000 0.5000 0.5000  8 Sc 2.77

---

iii) Density functional theory data (PBE) for an optimized crystal structure of Sc4OsRh.

Lattice parameters (Å, degrees): 3.2053 3.2053 11.8531 90.00 90.00 90.00
Closest atoms and distances in Å follow each position.
Sites, in units of the cell vectors:
Sc 0.0000 0.0000 0.1308  4 Os 2.75
Sc 0.0000 0.0000 0.8692  4 Os 2.75
Sc 0.5000 0.5000 0.3639  4 Rh 2.78
Sc 0.5000 0.5000 0.6361  4 Rh 2.78
Os 0.5000 0.5000 0.0000  8 Sc 2.75
Rh 0.0000 0.0000 0.5000  8 Sc 2.78

---

What should be chosen as the least stable of them? Choose i).

---

i) Density functional theory data (PBE) for an optimized crystal structure of TmScOsRh.

Lattice parameters (Å, degrees): 4.6605 4.6605 4.6605 60.00 60.00 60.00
Closest atoms and distances in Å follow each position.
Sites, in units of the cell vectors:
Tm 0.0000 0.0000 0.0000  4 Os 2.85, 4 Rh 2.85
Sc 0.5000 0.5000 0.5000  4 Os 2.85, 4 Rh 2.85
Os 0.7500 0.7500 0.7500  4 Sc 2.85, 4 Tm 2.85
Rh 0.2500 0.2500 0.2500  4 Sc 2.85, 4 Tm 2.85

---

ii) Density functional theory data (PBE) for an optimized crystal structure of TmScOsRh.

Lattice parameters (Å, degrees): 3.2961 3.2961 6.5978 90.00 90.00 90.00
Closest atoms and distances in Å follow each position.
Sites, in units of the cell vectors:
Tm 0.0000 0.0000 0.0000  4 Os 2.89, 4 Rh 2.91, 1 Sc 3.22
Sc 0.0000 0.0000 0.5112  4 Os 2.78, 4 Rh 2.85
Os 0.5000 0.5000 0.7416  4 Sc 2.78, 4 Tm 2.89
Rh 0.5000 0.5000 0.2630  4 Sc 2.85, 4 Tm 2.91, 1 Os 3.16

---

What should be chosen as the least stable of them? Choose i).

---

i) Density functional theory data (PBE) for an optimized crystal structure of ZrScOsRh.

Lattice parameters (Å, degrees): 3.2782 3.2782 6.4518 90.00 90.00 90.00
Closest atoms and distances in Å follow each position.
Sites, in units of the cell vectors:
Zr 0.0000 0.0000 0.0000  4 Os 2.81, 4 Rh 2.84
Sc 0.0000 0.0000 0.4962  4 Rh 2.83, 4 Os 2.83
Os 0.5000 0.5000 0.2451  4 Zr 2.81, 4 Sc 2.83
Rh 0.5000 0.5000 0.7469  4 Sc 2.83, 4 Zr 2.84

---

ii) Density functional theory data (PBE) for an optimized crystal structure of ZrScOsRh.

Lattice parameters (Å, degrees): 4.6092 4.6092 4.6092 60.00 60.00 60.00
Closest atoms and distances in Å follow each position.
Sites, in units of the cell vectors:
Zr 0.0000 0.0000 0.0000  4 Os 2.82, 4 Rh 2.82
Sc 0.5000 0.5000 0.5000  4 Os 2.82, 4 Rh 2.82
Os 0.7500 0.7500 0.7500  4 Zr 2.82, 4 Sc 2.82
Rh 0.2500 0.2500 0.2500  4 Sc 2.82, 4 Zr 2.82

---

What should be chosen as the least stable of them? Choose ii).

---

i) Density functional theory data (PBE) for an optimized crystal structure of OsRhSe2.

Lattice parameters (Å, degrees): 2.8980 2.8980 9.9830 90.00 90.00 120.20
Closest atoms and distances in Å follow each position.
Sites, in units of the cell vectors:
Os 0.0000 0.0000 0.0000  2 Se 2.49, 2 Rh 2.74
Rh 0.5000 0.5000 0.2335  2 Se 2.51, 2 Os 2.74
Se 0.0000 0.0000 0.4395  2 Rh 2.51
Se 0.5000 0.5000 0.7971  2 Os 2.49

---

ii) Density functional theory data (PBE) for an optimized crystal structure of OsRhSe2.

Lattice parameters (Å, degrees): 2.9184 4.3688 5.0975 90.00 90.00 90.00
Closest atoms and distances in Å follow each position.
Sites, in units of the cell vectors:
Os 0.0000 0.0000 0.0000  4 Se 2.63, 2 Os 2.92, 4 Rh 2.94
Rh 0.5000 0.0000 0.5000  4 Se 2.63, 2 Rh 2.92, 4 Os 2.94
Se 0.0000 0.5000 0.5000  4 Rh 2.63, 6 Se 2.92-2.94
Se 0.5000 0.5000 0.0000  4 Os 2.63, 6 Se 2.92-2.94

---

What should be chosen as the least stable of them? Choose ii).

---

i) Density functional theory data (PBE) for an optimized crystal structure of Os3RhSe.

Lattice parameters (Å, degrees): 4.6876 4.6876 4.6876 90.00 90.00 90.00
Closest atoms and distances in Å follow each position.
Sites, in units of the cell vectors:
Os 0.0000 0.0000 0.5000  2 Rh 2.34
Os 0.0000 0.5000 0.0000  2 Rh 2.34
Os 0.5000 0.0000 0.0000  2 Rh 2.34
Rh 0.0000 0.0000 0.0000  6 Os 2.34
Se 0.5000 0.5000 0.5000  12 Os 3.31

---

ii) Density functional theory data (PBE) for an optimized crystal structure of Os3RhSe.

Lattice parameters (Å, degrees): 4.4812 4.4812 4.4812 90.00 90.00 90.00
Closest atoms and distances in Å follow each position.
Sites, in units of the cell vectors:
Os 0.0000 0.0000 0.5000  2 Se 2.24
Os 0.0000 0.5000 0.0000  2 Se 2.24
Os 0.5000 0.0000 0.0000  2 Se 2.24
Rh 0.5000 0.5000 0.5000  12 Os 3.17
Se 0.0000 0.0000 0.0000  6 Os 2.24

---

What should be chosen as the least stable of them? Choose i).